# 1
VASP calculation (PBE-GGA) on a relaxed structure of AlVGe2.

Cell and atoms, written as POSCAR:
```
AlVGe2
1.0
-2.135 2.782 -0.814
-3.089 -1.701 2.285
1.381 2.053 3.396
V Ge Al
1 2 1
direct
0.500 0.000 0.000
0.000 0.000 0.500
0.000 0.500 0.000
0.500 0.500 0.500
```

Output
Formation enthalpy at 0 K (eV/f.u.): 0.43

# 2
VASP calculation (PBE-GGA) on a relaxed structure of YAl2Cu.

Cell and atoms, written as POSCAR:
```
YAl2Cu
1.0
-1.539 -2.240 3.761
-0.853 -3.756 -2.587
6.583 -5.805 2.098
Al Cu Y
4 2 2
direct
0.285 0.625 0.250
0.375 0.535 0.750
0.875 0.715 0.750
0.465 0.125 0.250
0.500 0.500 0.000
0.250 0.750 0.500
0.000 0.000 0.000
0.750 0.250 0.500
```

Output
Formation enthalpy at 0 K (eV/f.u.): 0.05

# 3
VASP calculation (PBE-GGA) on a relaxed structure of AlIrCl2.

Cell and atoms, written as POSCAR:
```
AlIrCl2
1.0
2.961 0.000 0.000
0.000 3.257 -0.110
0.000 0.562 8.728
Cl Al Ir
2 1 1
direct
0.000 0.851 0.914
0.500 0.399 0.331
0.500 0.868 0.711
0.000 0.382 0.544
```

Output
Distance to the lowest polymorph of the same formula (meV per atom): 0

# 4
VASP calculation (PBE-GGA) on a relaxed structure of GaGe2S.

Cell and atoms, written as POSCAR:
```
GaGe2S
1.0
0.000 3.330 3.330
3.330 0.000 3.330
3.330 3.330 0.000
Ge S Ga
2 1 1
direct
0.750 0.750 0.750
0.250 0.250 0.250
0.000 0.000 0.000
0.500 0.500 0.500
```

Output
Distance to the lowest polymorph of the same formula (meV per atom): 173

# 5
VASP calculation (PBE-GGA) on a relaxed structure of Sm2InCuSe5.

Cell and atoms, written as POSCAR:
```
Sm2InCuSe5
1.0
4.035 0.000 0.000
-2.018 8.674 0.000
0.000 0.000 12.122
Sm Se In Cu
4 10 2 2
direct
0.119 0.239 0.301
0.114 0.227 0.684
0.881 0.761 0.801
0.886 0.773 0.184
0.958 0.915 0.569
0.648 0.296 0.497
0.506 0.012 0.789
0.494 0.988 0.289
0.702 0.405 0.837
0.352 0.704 0.997
0.711 0.421 0.162
0.298 0.595 0.337
0.042 0.085 0.069
0.289 0.579 0.662
0.810 0.621 0.498
0.190 0.379 0.998
0.497 0.995 0.986
0.503 0.005 0.486
```

Output
Raw total energy (eV for the cell shown): -88.6

# 6
VASP calculation (PBE-GGA) on a relaxed structure of Sn3Pb7.

Cell and atoms, written as POSCAR:
```
Sn3Pb7
1.0
-5.091 2.474 -1.344
-2.213 -1.029 6.487
5.681 5.687 1.544
Pb Sn
7 3
direct
0.000 0.500 0.000
0.603 0.908 0.205
0.200 0.286 0.400
0.397 0.092 0.795
0.398 0.598 0.796
0.800 0.714 0.600
0.602 0.402 0.204
0.804 0.205 0.608
0.000 0.000 0.000
0.196 0.795 0.392
```

Output
Formation enthalpy at 0 K (eV/f.u.): 0.41
Distance to the lowest polymorph of the same formula (meV per atom): 0

# 7
VASP calculation (PBE-GGA) on a relaxed structure of Sm8Sc2Al.

Cell and atoms, written as POSCAR:
```
Sm8Sc2Al
1.0
5.340 0.000 0.000
0.000 7.939 -0.037
-2.670 -3.412 8.013
Sm Sc Al
8 2 1
direct
0.388 0.570 0.775
0.017 0.753 0.033
0.983 0.247 0.967
0.826 0.780 0.653
0.335 0.088 0.670
0.612 0.430 0.225
0.665 0.912 0.330
0.174 0.220 0.347
0.805 0.346 0.610
0.195 0.654 0.390
0.500 0.000 0.000
```

Output
Formation enthalpy at 0 K (eV/f.u.): 0.30

# 8
VASP calculation (PBE-GGA) on a relaxed structure of Sc2InSe.

Cell and atoms, written as POSCAR:
```
Sc2InSe
1.0
-6.041 1.664 -4.266
-1.334 -7.395 -0.996
-5.575 -2.884 0.035
In Sc Se
2 4 2
direct
0.000 0.000 0.000
0.750 0.250 0.500
0.156 0.625 0.250
0.875 0.844 0.750
0.375 0.406 0.750
0.594 0.125 0.250
0.500 0.500 0.000
0.250 0.750 0.500
```

Output
Distance to the lowest polymorph of the same formula (meV per atom): 345

# 9
VASP calculation (PBE-GGA) on a relaxed structure of LaPuSc2O8.

Cell and atoms, written as POSCAR:
```
LaPuSc2O8
1.0
4.952 0.071 -0.004
0.127 4.952 -0.006
0.004 0.007 7.054
O Pu La Sc
8 1 1 2
direct
0.200 0.799 0.783
0.727 0.727 0.000
0.800 0.201 0.217
0.674 0.675 0.500
0.800 0.201 0.783
0.273 0.273 0.000
0.326 0.325 0.500
0.200 0.799 0.217
0.000 0.000 0.000
0.000 0.000 0.500
0.500 0.500 0.273
0.500 0.500 0.727
```

Output
Raw total energy (eV for the cell shown): -107.6

# 10
VASP calculation (PBE-GGA) on a relaxed structure of Y4TcRh.

Cell and atoms, written as POSCAR:
```
Y4TcRh
1.0
0.000 4.178 4.178
4.178 0.000 4.178
4.178 4.178 0.000
Y Tc Rh
4 1 1
direct
0.375 0.875 0.375
0.375 0.375 0.375
0.875 0.375 0.375
0.375 0.375 0.875
0.000 0.000 0.000
0.750 0.750 0.750
```

Output
Formation enthalpy at 0 K (eV/f.u.): 5.39

# 11
VASP calculation (PBE-GGA) on a relaxed structure of MnPbSe.

Cell and atoms, written as POSCAR:
```
MnPbSe
1.0
-3.364 -3.995 -3.433
1.120 -3.220 -5.238
1.980 1.741 5.666
Mn Se Pb
1 1 1
direct
0.040 0.040 0.000
0.613 0.613 0.000
0.348 0.348 0.000
```

Output
Distance to the lowest polymorph of the same formula (meV per atom): 11

# 12
VASP calculation (PBE-GGA) on a relaxed structure of LaZnRh.

Cell and atoms, written as POSCAR:
```
LaZnRh
1.0
5.228 -0.494 0.083
-1.082 5.132 0.279
-1.598 -1.953 4.600
La Zn Rh
2 2 2
direct
0.621 0.879 0.250
0.379 0.121 0.750
0.001 0.498 0.250
0.999 0.502 0.750
0.000 0.000 0.000
0.500 0.500 0.500
```

Output
Formation enthalpy at 0 K (eV/f.u.): -1.55